(1)
PBE CePr2SmBi4, relaxed; SG = P2/m; magnetization = 0.8 μB/cell; ΔH_f (0 K) = -7.29 eV/f.u.
1.0
7.981 0.000 0.000
0.000 4.608 0.000
-2.649 0.000 7.532
Ce Pr Sm Bi
1 2 1 4
Direct
0.000 0.000 0.000
0.000 0.500 0.500
0.500 0.000 0.500
0.500 0.500 0.000
0.249 0.500 0.245
0.252 0.000 0.755
0.748 0.000 0.245
0.751 0.500 0.755

(2)
PBE Ti8Ga2Te, relaxed; SG = C2/m; magnetization = 0.0 μB/cell; ΔE_f (raw) = -287 meV per atom
1.0
7.107 -2.076 0.000
7.107 2.076 0.000
-2.606 0.000 6.329
Ti Ga Te
8 2 1
Direct
0.044 0.044 0.237
0.151 0.151 0.709
0.317 0.317 0.583
0.406 0.406 0.043
0.594 0.594 0.957
0.683 0.683 0.417
0.849 0.849 0.291
0.956 0.956 0.763
0.216 0.216 0.152
0.784 0.784 0.848
0.500 0.500 0.500

(3)
PBE KGaO, relaxed; SG = P4/nmm; magnetization = 0.0 μB/cell; ΔE_f (raw) = -1189 meV per atom
1.0
3.824 0.000 0.000
0.000 3.824 0.000
0.000 0.000 8.088
K Ga O
2 2 2
Direct
0.250 0.250 0.143
0.750 0.750 0.857
0.250 0.250 0.574
0.750 0.750 0.426
0.250 0.250 0.795
0.750 0.750 0.205

(4)
PBE BeRe2, relaxed; SG = Cmcm; magnetization = 0.0 μB/cell; ΔH_f (0 K) = 0.61 eV/f.u.
1.0
1.379 -6.658 0.000
1.379 6.658 0.000
0.000 0.000 4.383
Be Re
2 4
Direct
0.225 0.775 0.750
0.775 0.225 0.250
0.120 0.880 0.250
0.439 0.561 0.250
0.561 0.439 0.750
0.880 0.120 0.750

(5)
PBE Rb2TiInI, relaxed; SG = P4/mmm; magnetization = 2.5 μB/cell; ΔE_f (raw) = 431 meV per atom
1.0
7.130 0.000 0.000
0.000 7.130 0.000
0.000 0.000 5.265
Rb Ti In I
2 1 1 1
Direct
0.000 0.500 0.000
0.500 0.000 0.000
0.000 0.000 0.000
0.500 0.500 0.500
0.000 0.000 0.500

(6)
PBE Zr2FeIrN, relaxed; SG = P4/mmm; magnetization = 1.7 μB/cell; ΔE_f (raw) = -847 meV per atom
1.0
4.524 0.000 0.000
0.000 4.524 0.000
0.000 0.000 3.679
Zr Fe Ir N
2 1 1 1
Direct
0.000 0.500 0.000
0.500 0.000 0.000
0.000 0.000 0.500
0.500 0.500 0.500
0.000 0.000 0.000

(7)
PBE LiBC, relaxed; SG = Pnma; magnetization = 0.0 μB/cell; ΔH_f (0 K) = 0.17 eV/f.u.
1.0
5.585 0.000 0.000
0.000 2.818 0.000
0.000 0.000 7.038
Li B C
4 4 4
Direct
0.068 0.250 0.149
0.432 0.750 0.649
0.568 0.250 0.351
0.932 0.750 0.851
0.098 0.750 0.468
0.402 0.250 0.968
0.598 0.750 0.032
0.902 0.250 0.532
0.203 0.250 0.465
0.297 0.750 0.965
0.703 0.250 0.035
0.797 0.750 0.535

(8)
PBE NaAcPt4, relaxed; SG = F-43m; magnetization = 0.0 μB/cell; ΔH_f (0 K) = -4.94 eV/f.u.
1.0
0.000 3.905 3.905
3.905 0.000 3.905
3.905 3.905 0.000
Na Ac Pt
1 1 4
Direct
0.000 0.000 0.000
0.750 0.750 0.750
0.374 0.374 0.374
0.374 0.374 0.877
0.374 0.877 0.374
0.877 0.374 0.374

(9)
PBE CdTe2PbI, relaxed; SG = P4/mmm; magnetization = 0.0 μB/cell; ΔE_f (raw) = 322 meV per atom
1.0
5.928 0.000 0.000
0.000 5.928 0.000
0.000 0.000 6.112
Cd Te Pb I
1 2 1 1
Direct
0.000 0.000 0.000
0.000 0.500 0.500
0.500 0.000 0.500
0.500 0.500 0.500
0.500 0.500 0.000

(10)
PBE Hg2Pb3I6, relaxed; SG = C2/m; magnetization = 0.0 μB/cell; ΔE_f (raw) = -508 meV per atom
1.0
4.025 -6.969 0.000
4.025 6.969 0.000
-2.669 0.000 10.076
Hg Pb I
2 3 6
Direct
0.167 0.833 0.000
0.833 0.167 0.000
0.000 0.000 0.500
0.333 0.667 0.500
0.667 0.333 0.500
0.063 0.395 0.686
0.273 0.273 0.315
0.395 0.063 0.686
0.605 0.937 0.314
0.727 0.727 0.685
0.937 0.605 0.314

(11)
PBE Dy4Er3Sc2, relaxed; SG = C2/c; magnetization = 0.0 μB/cell; ΔH_f (0 K) = 0.95 eV/f.u.
1.0
8.079 -5.640 0.000
8.079 5.640 0.000
-0.708 0.000 5.834
Dy Er Sc
8 6 4
Direct
0.048 0.821 0.954
0.172 0.385 0.105
0.179 0.952 0.546
0.385 0.172 0.605
0.615 0.828 0.395
0.821 0.048 0.454
0.828 0.615 0.895
0.952 0.179 0.046
0.016 0.324 0.578
0.324 0.016 0.078
0.356 0.644 0.250
0.644 0.356 0.750
0.676 0.984 0.922
0.984 0.676 0.422
0.288 0.514 0.702
0.486 0.712 0.798
0.514 0.288 0.202
0.712 0.486 0.298

(12)
PBE Mn3AuI9, relaxed; SG = Cc; magnetization = 29.7 μB/cell; ΔE_f (raw) = -283 meV per atom
1.0
9.767 -5.213 0.000
9.767 5.213 0.000
-8.924 0.000 11.832
Mn Au I
6 2 18
Direct
0.004 0.705 0.837
0.127 0.873 0.500
0.304 0.635 0.685
0.635 0.304 0.185
0.705 0.004 0.337
0.873 0.127 0.000
0.487 0.845 0.389
0.845 0.487 0.889
0.125 0.455 0.924
0.136 0.514 0.672
0.158 0.872 0.032
0.224 0.933 0.737
0.277 0.549 0.471
0.318 0.985 0.524
0.455 0.125 0.424
0.499 0.566 0.336
0.514 0.136 0.172
0.549 0.277 0.971
0.566 0.499 0.836
0.692 0.729 0.290
0.729 0.692 0.790
0.796 0.966 0.768
0.872 0.158 0.532
0.933 0.224 0.237
0.966 0.796 0.268
0.985 0.318 0.024